Computed, not measured: a relaxed TaMnI2O crystal at the PBE+U level of DFT.

Values from the calculation:
* space group: No. 123
* raw total energy: -5.18 eV per atom
* DOS at the Fermi energy: 2.63 states/eV/cell
* ρ: 7140 kg/m3

a b c (Å): 5.683 5.683 3.641
angles (deg): 90.00 90.00 90.00
Atoms (fractional coordinates):
Ta (0.000, 0.000, 0.000)
Mn (0.500, 0.500, 0.500)
I (0.000, 0.500, 0.500)
I (0.500, 0.000, 0.500)
O (0.500, 0.500, 0.000)